No. 1
A plane-wave DFT calculation with PBE-GGA was carried out for an optimized crystal structure of Li2Al4Zn.

Summary:
- calculated total energy (eV for the cell shown) = -40.85
- symmetry = C2/m, No. 12

a b c (Å): 8.770 5.169 5.159
angles (deg): 93.92 90.00 90.00
Fractional positions:
Li (0.000, 0.517, 0.252)
Li (0.000, 0.483, 0.748)
Li (0.500, 0.983, 0.748)
Li (0.500, 0.017, 0.252)
Al (0.750, 0.750, 0.999)
Al (0.669, 0.500, 0.499)
Al (0.831, 0.000, 0.499)
Al (0.750, 0.250, 0.999)
Al (0.250, 0.750, 0.001)
Al (0.169, 0.000, 0.501)
Al (0.331, 0.500, 0.501)
Al (0.250, 0.250, 0.001)
Zn (0.000, 0.000, 0.000)
Zn (0.500, 0.500, 0.000)

No. 2
A plane-wave DFT calculation with PBE-GGA was carried out for an optimized crystal structure of Li3AlZn8.

Summary:
- calculated total energy (eV for the cell shown) = -21.07
- symmetry = R3m, No. 160

a b c (Å): 5.132 5.132 8.805
angles (deg): 73.06 73.06 60.00
Fractional positions:
Li (0.375, 0.375, 0.874)
Li (0.000, 0.000, 0.001)
Li (0.500, 0.500, 0.499)
Al (0.874, 0.874, 0.377)
Zn (0.937, 0.438, 0.187)
Zn (0.437, 0.938, 0.687)
Zn (0.438, 0.438, 0.187)
Zn (0.938, 0.938, 0.687)
Zn (0.187, 0.187, 0.439)
Zn (0.688, 0.688, 0.936)
Zn (0.438, 0.937, 0.187)
Zn (0.938, 0.437, 0.687)